Arrangement A

NaPm2Cu | PBE-GGA | relaxed

Cell lengths 3.505, 3.505, 9.588 Å; angles 90.00, 90.00, 90.00 degrees
Fractional positions:
Pm 0.000 0.000 0.817
Pm 0.000 0.000 0.183
Na 0.500 0.500 0.500
Cu 0.500 0.500 0.000

Computed properties:
- Density of states at the Fermi level: 1.317 states/eV per atom

=====

Arrangement B

NaPm2Cu | PBE-GGA | relaxed

Cell lengths 3.574, 3.574, 11.490 Å; angles 81.05, 81.05, 60.00 degrees
Fractional positions:
Pm 0.894 0.894 0.318
Pm 0.106 0.106 0.682
Na 0.000 0.000 0.000
Cu 0.500 0.500 0.500

Computed properties:
- Density of states at the Fermi level: 0.955 states/eV per atom

=====

In order of decreasing stability: arrangement A, arrangement B.

=====

Arrangement A

NaCu2Pt | PBE-GGA | relaxed

Cell lengths 4.378, 4.378, 4.378 Å; angles 60.00, 60.00, 60.00 degrees
Fractional positions:
Na 0.000 0.000 0.000
Pt 0.500 0.500 0.500
Cu 0.250 0.250 0.250
Cu 0.750 0.750 0.750

Computed properties:
- Density of states at the Fermi level: 0.229 states/eV per atom

=====

Arrangement B

NaCu2Pt | PBE-GGA | relaxed

Cell lengths 2.933, 4.469, 4.469 Å; angles 90.00, 90.00, 90.00 degrees
Fractional positions:
Pt 0.500 0.000 0.000
Cu 0.000 0.500 0.000
Cu 0.000 0.000 0.500
Na 0.500 0.500 0.500

Computed properties:
- Density of states at the Fermi level: 0.207 states/eV per atom

=====

In order of decreasing stability: arrangement B, arrangement A.

=====

Arrangement A

Na2CuPt2 | PBE-GGA | relaxed

Cell lengths 3.650, 3.650, 8.856 Å; angles 78.11, 78.11, 90.00 degrees
Fractional positions:
Cu 0.000 0.000 0.000
Na 0.394 0.394 0.213
Na 0.606 0.606 0.787
Pt 0.750 0.250 0.500
Pt 0.250 0.750 0.500

Computed properties:
- Density of states at the Fermi level: 0.672 states/eV per atom

=====

Arrangement B

Na2CuPt2 | PBE-GGA | relaxed

Cell lengths 8.259, 8.259, 2.687 Å; angles 90.00, 90.00, 90.00 degrees
Fractional positions:
Na 0.117 0.383 0.000
Na 0.617 0.117 0.000
Na 0.383 0.883 0.000
Na 0.883 0.617 0.000
Cu 0.000 0.000 0.000
Cu 0.500 0.500 0.000
Pt 0.318 0.182 0.500
Pt 0.818 0.318 0.500
Pt 0.182 0.682 0.500
Pt 0.682 0.818 0.500

Computed properties:
- Density of states at the Fermi level: 0.557 states/eV per atom

=====

In order of decreasing stability: arrangement A, arrangement B.

=====

Arrangement A

Na2CuPt2 | PBE-GGA | relaxed

Cell lengths 6.400, 6.400, 4.710 Å; angles 90.00, 90.00, 90.00 degrees
Fractional positions:
Pt 0.641 0.141 0.000
Pt 0.359 0.859 0.000
Pt 0.141 0.359 0.000
Pt 0.859 0.641 0.000
Cu 0.500 0.500 0.000
Cu 0.000 0.000 0.000
Na 0.330 0.170 0.500
Na 0.830 0.330 0.500
Na 0.670 0.830 0.500
Na 0.170 0.670 0.500

Computed properties:
- Density of states at the Fermi level: 1.168 states/eV per atom

=====

Arrangement B

Na2CuPt2 | PBE-GGA | relaxed

Cell lengths 4.239, 5.226, 5.664 Å; angles 117.47, 111.98, 90.00 degrees
Fractional positions:
Cu 0.000 0.000 0.000
Pt 0.500 0.744 0.000
Pt 0.500 0.256 0.000
Na 0.798 0.298 0.596
Na 0.202 0.702 0.404

Computed properties:
- Density of states at the Fermi level: 0.496 states/eV per atom

=====

In order of decreasing stability: arrangement B, arrangement A.